A geometry-optimized SrTl2CdNi structure, computed with PBE-GGA.

Cell lengths 5.1190, 5.1190, 5.5761 Å; angles 90.00, 90.00, 90.00 degrees
Closest atoms and distances in Å follow each position.
Element x y z (fractional)
Sr1 0.0000 0.0000 0.0000  2 Ni 2.79
Tl1 0.0000 0.5000 0.5000  2 Ni 2.56
Tl2 0.5000 0.0000 0.5000  2 Ni 2.56
Cd1 0.5000 0.5000 0.0000  4 Sr 3.62, 8 Tl 3.78
Ni1 0.0000 0.0000 0.5000  4 Tl 2.56, 2 Sr 2.79

Computed properties:
For the uncorrected energy, the calculation gives -2.6747 eV/atom. The energy of formation from the pure elements is -0.053 eV/atom. The polymorph energy (0 for the lowest one) comes out at 0.297 eV/f.u. Its symmetry is P4/mmm (123).

A geometry-optimized SrTl2CdNi structure, computed with PBE-GGA.

Cell lengths 5.1339, 5.1339, 5.1155 Å; angles 90.00, 90.00, 90.00 degrees
Closest atoms and distances in Å follow each position.
Element x y z (fractional)
Sr1 0.0000 0.0000 0.0000  8 Tl 3.62, 4 Cd 3.63
Tl1 0.0000 0.5000 0.5000  2 Ni 2.57
Tl2 0.5000 0.0000 0.5000  2 Ni 2.57
Cd1 0.5000 0.5000 0.0000  2 Ni 2.56
Ni1 0.5000 0.5000 0.5000  2 Cd 2.56, 4 Tl 2.57

Computed properties:
For the uncorrected energy, the calculation gives -2.7341 eV/atom. The energy of formation from the pure elements is -0.112 eV/atom. The polymorph energy (0 for the lowest one) comes out at 0.000 eV/f.u. Its symmetry is P4/mmm (123).

A geometry-optimized Sr2CdNiW structure, computed with PBE-GGA.

Cell lengths 5.9157, 5.9157, 4.5260 Å; angles 90.00, 90.00, 90.00 degrees
Closest atoms and distances in Å follow each position.
Element x y z (fractional)
Sr1 0.0000 0.5000 0.0000  2 W 2.96
Sr2 0.5000 0.0000 0.0000  2 W 2.96
Cd1 0.0000 0.0000 0.5000  8 Sr 3.72
Ni1 0.5000 0.5000 0.5000  2 W 2.26
W1 0.5000 0.5000 0.0000  2 Ni 2.26

Computed properties:
For the uncorrected energy, the calculation gives -3.7145 eV/atom. The energy of formation from the pure elements is 0.888 eV/atom. Its symmetry is P4/mmm (123).

A geometry-optimized SrZn2CdNi structure, computed with PBE-GGA.

Cell lengths 4.7395, 4.7395, 4.9855 Å; angles 90.00, 90.00, 90.00 degrees
Closest atoms and distances in Å follow each position.
Element x y z (fractional)
Sr1 0.0000 0.0000 0.0000  4 Cd 3.35, 8 Zn 3.44
Zn1 0.0000 0.5000 0.5000  2 Ni 2.37
Zn2 0.5000 0.0000 0.5000  2 Ni 2.37
Cd1 0.5000 0.5000 0.0000  2 Ni 2.49
Ni1 0.5000 0.5000 0.5000  4 Zn 2.37, 2 Cd 2.49

Computed properties:
For the uncorrected energy, the calculation gives -2.3425 eV/atom. The energy of formation from the pure elements is -0.157 eV/atom. Its symmetry is P4/mmm (123).

A geometry-optimized SrZnCd2Ni structure, computed with PBE-GGA.

Cell lengths 5.0406, 5.0406, 4.7367 Å; angles 90.00, 90.00, 90.00 degrees
Closest atoms and distances in Å follow each position.
Element x y z (fractional)
Sr1 0.0000 0.0000 0.0000  8 Cd 3.46, 4 Zn 3.56
Zn1 0.5000 0.5000 0.0000  2 Ni 2.37
Cd1 0.0000 0.5000 0.5000  2 Ni 2.52
Cd2 0.5000 0.0000 0.5000  2 Ni 2.52
Ni1 0.5000 0.5000 0.5000  2 Zn 2.37, 4 Cd 2.52

Computed properties:
For the uncorrected energy, the calculation gives -2.2573 eV/atom. The energy of formation from the pure elements is -0.144 eV/atom. Its symmetry is P4/mmm (123).

A geometry-optimized TaCd3Ni structure, computed with PBE-GGA.

Cell lengths 5.3729, 5.3729, 5.3729 Å; angles 90.00, 90.00, 90.00 degrees
Closest atoms and distances in Å follow each position.
Element x y z (fractional)
Ta1 0.0000 0.0000 0.0000  6 Cd 2.69
Cd1 0.0000 0.0000 0.5000  2 Ta 2.69
Cd2 0.0000 0.5000 0.0000  2 Ta 2.69
Cd3 0.5000 0.0000 0.0000  2 Ta 2.69
Ni1 0.5000 0.5000 0.5000  12 Cd 3.80

Computed properties:
For the uncorrected energy, the calculation gives -2.4091 eV/atom. The energy of formation from the pure elements is 1.667 eV/atom. The polymorph energy (0 for the lowest one) comes out at 3.537 eV/f.u. Its symmetry is Pm-3m (221).

A geometry-optimized TaCdNi2 structure, computed with PBE-GGA.

Cell lengths 5.4256, 5.4256, 5.4256 Å; angles 150.29, 130.65, 58.67 degrees
Closest atoms and distances in Å follow each position.
Element x y z (fractional)
Ta1 0.0000 0.0000 0.0000  6 Ni 2.65-2.69, 2 Ta 2.78
Cd1 0.2872 0.7872 0.5000  6 Ni 2.67-2.82, 2 Cd 2.78
Ni1 0.5469 0.5469 0.0000  2 Ni 2.46, 4 Ta 2.69
Ni2 0.7611 0.2611 0.5000  2 Ni 2.46, 2 Ta 2.65, 4 Cd 2.67

Computed properties:
For the uncorrected energy, the calculation gives -6.0046 eV/atom. The energy of formation from the pure elements is 0.078 eV/atom. Its symmetry is Imm2 (44).

A geometry-optimized TaCdNi2 structure, computed with PBE-GGA.

Cell lengths 8.4602, 8.4602, 8.4602 Å; angles 20.17, 20.17, 20.17 degrees
Closest atoms and distances in Å follow each position.
Element x y z (fractional)
Ta1 0.0000 0.0000 0.0000  6 Ni 2.56
Cd1 0.5000 0.5000 0.5000  6 Ni 2.81, 6 Cd 2.96
Ni1 0.2565 0.2565 0.2565  3 Ta 2.56, 3 Cd 2.81
Ni2 0.7435 0.7435 0.7435  3 Ta 2.56, 3 Cd 2.81

Computed properties:
For the uncorrected energy, the calculation gives -6.0166 eV/atom. The energy of formation from the pure elements is 0.066 eV/atom. Its symmetry is R-3m (166).

A geometry-optimized TaCdNi2 structure, computed with PBE-GGA.

Cell lengths 3.0695, 3.0695, 6.4274 Å; angles 90.00, 90.00, 90.00 degrees
Closest atoms and distances in Å follow each position.
Element x y z (fractional)
Ta1 0.0000 0.0000 0.0000  5 Ni 2.57-2.59
Cd1 0.5000 0.5000 0.3432  5 Ni 2.72-2.85
Ni1 0.0000 0.0000 0.5977  4 Ni 2.49, 1 Ta 2.59, 4 Cd 2.72
Ni2 0.5000 0.5000 0.7869  4 Ni 2.49, 4 Ta 2.57

Computed properties:
For the uncorrected energy, the calculation gives -6.0121 eV/atom. The energy of formation from the pure elements is 0.070 eV/atom. Its symmetry is P4mm (99).

A geometry-optimized TaCdNi2 structure, computed with PBE-GGA.

Cell lengths 4.4509, 4.4509, 5.3117 Å; angles 98.59, 98.59, 36.77 degrees
Closest atoms and distances in Å follow each position.
Element x y z (fractional)
Ta1 0.0000 0.0000 0.0000  6 Ni 2.56-2.61, 2 Ta 2.81
Cd1 0.5000 0.5000 0.5000  6 Ni 2.79-2.82, 2 Cd 2.81, 4 Ta 3.00
Ni1 0.2535 0.2535 0.7932  3 Ta 2.56-2.61, 4 Ni 2.62-2.81, 3 Cd 2.79-2.82
Ni2 0.7465 0.7465 0.2068  3 Ta 2.56-2.61, 4 Ni 2.62-2.81, 3 Cd 2.79-2.82

Computed properties:
For the uncorrected energy, the calculation gives -5.9709 eV/atom. The energy of formation from the pure elements is 0.112 eV/atom. Its symmetry is C2/m (12).

A geometry-optimized TaCdNi2 structure, computed with PBE-GGA.

Cell lengths 5.6099, 5.6099, 5.6099 Å; angles 104.37, 104.37, 120.24 degrees
Closest atoms and distances in Å follow each position.
Element x y z (fractional)
Ta1 0.0000 0.0000 0.0000  4 Ni 2.42
Ta2 0.7500 0.2500 0.5000  4 Ni 2.42
Cd1 0.2500 0.7500 0.5000  4 Ni 2.65, 2 Ta 2.79
Cd2 0.5000 0.5000 0.0000  4 Ni 2.65, 2 Ta 2.79
Ni1 0.1007 0.6250 0.9757  2 Ta 2.42, 2 Cd 2.65
Ni2 0.3750 0.3507 0.4757  2 Ta 2.42, 2 Cd 2.65
Ni3 0.6493 0.1250 0.0243  2 Ta 2.42, 2 Cd 2.65
Ni4 0.8750 0.8993 0.5243  2 Ta 2.42, 2 Cd 2.65

Computed properties:
For the uncorrected energy, the calculation gives -5.6050 eV/atom. The energy of formation from the pure elements is 0.478 eV/atom. Its symmetry is I-42d (122).

A geometry-optimized TaCdNi2 structure, computed with PBE-GGA.

Cell lengths 2.8579, 4.2792, 5.0796 Å; angles 90.00, 106.10, 90.00 degrees
Closest atoms and distances in Å follow each position.
Element x y z (fractional)
Ta1 0.0000 0.0000 0.0000  7 Ni 2.58-2.73, 2 Ta 2.86
Cd1 0.6913 0.5000 0.3777  7 Ni 2.60-2.72, 2 Cd 2.86
Ni1 0.2822 0.0000 0.5587  4 Ni 2.56-2.86, 3 Ta 2.58-2.73, 4 Cd 2.72
Ni2 0.4220 0.5000 0.8454  4 Ni 2.56-2.86, 3 Cd 2.60-2.69, 4 Ta 2.68

Computed properties:
For the uncorrected energy, the calculation gives -6.0583 eV/atom. The energy of formation from the pure elements is 0.024 eV/atom. Its symmetry is Pm (6).